Record 1
A plane-wave DFT calculation with PBE-GGA was carried out for AcAsRh3 after structural relaxation.

space group: Pm-3m
crystal system: cubic
calculated formation energy: -439.5 meV per atom
energy: -33.010 eV/f.u.
N(E_F): 4.91 states/eV/f.u.

Unit cell a=4.6952 b=4.6952 c=4.6952 alpha=90.00 beta=90.00 gamma=90.00
With the nearest neighbours (Å) after each atom.
Atoms (fractional coordinates):
Ac  0.0000  0.0000  0.0000  12 Rh 3.32
As  0.5000  0.5000  0.5000  6 Rh 2.35
Rh  0.0000  0.5000  0.5000  2 As 2.35
Rh  0.5000  0.0000  0.5000  2 As 2.35
Rh  0.5000  0.5000  0.0000  2 As 2.35



Record 2
A plane-wave DFT calculation with PBE-GGA was carried out for Ac2As3Rh5 after structural relaxation.

space group: Cmc2_1
crystal system: orthorhombic
calculated formation energy: -691.5 meV per atom
energy: -65.838 eV/f.u.
N(E_F): 5.16 states/eV/f.u.

Unit cell a=13.9435 b=13.9435 c=7.0124 alpha=90.00 beta=90.00 gamma=162.84
With the nearest neighbours (Å) after each atom.
Atoms (fractional coordinates):
Ac  0.0168  0.9832  0.5000  3 Rh 3.09-3.38, 3 As 3.10-3.14
Ac  0.3219  0.6781  0.5041  6 Rh 2.92-3.21
Ac  0.6781  0.3219  0.0041  6 Rh 2.92-3.21
Ac  0.9832  0.0168  0.0000  3 Rh 3.09-3.38, 3 As 3.10-3.14
As  0.1131  0.8869  0.7279  6 Rh 2.43-2.67
As  0.2818  0.7182  0.9433  6 Rh 2.50-2.53
As  0.4339  0.5661  0.7254  3 Rh 2.39-2.55
As  0.5661  0.4339  0.2254  3 Rh 2.39-2.55
As  0.7182  0.2818  0.4433  6 Rh 2.50-2.53
As  0.8869  0.1131  0.2279  6 Rh 2.43-2.67
Rh  0.0926  0.9074  0.0946  3 As 2.39-2.63
Rh  0.1971  0.8029  0.6242  3 As 2.43-2.50
Rh  0.2375  0.7625  0.2537  3 As 2.50-2.53
Rh  0.3722  0.6278  0.9964  4 As 2.52-2.67
Rh  0.4289  0.5711  0.3405  3 As 2.51-2.70, 2 Rh 2.80
Rh  0.5711  0.4289  0.8405  3 As 2.51-2.70, 2 Rh 2.80
Rh  0.6278  0.3722  0.4964  4 As 2.52-2.67
Rh  0.7625  0.2375  0.7537  3 As 2.50-2.53
Rh  0.8029  0.1971  0.1242  3 As 2.43-2.50
Rh  0.9074  0.0926  0.5946  3 As 2.39-2.63



Record 3
A plane-wave DFT calculation with PBE-GGA was carried out for AcAsRh after structural relaxation.

space group: C2/m
crystal system: monoclinic
calculated formation energy: -613.5 meV per atom
energy: -17.950 eV/f.u.
N(E_F): 1.05 states/eV/f.u.

Unit cell a=4.4493 b=4.4493 c=9.9689 alpha=102.71 beta=102.71 gamma=59.93
With the nearest neighbours (Å) after each atom.
Atoms (fractional coordinates):
Ac  0.0665  0.0665  0.2019  6 Rh 3.20-3.24, 2 As 3.24-3.59
Ac  0.9335  0.9335  0.7981  6 Rh 3.20-3.24, 2 As 3.24-3.59
As  0.1801  0.1801  0.5378  3 As 2.66-2.69
As  0.8199  0.8199  0.4622  3 As 2.66-2.69
Rh  0.3344  0.3344  0.0034  3 Rh 2.57
Rh  0.6656  0.6656  0.9966  3 Rh 2.57



Record 4
A plane-wave DFT calculation with PBE-GGA was carried out for Ac3AsRh after structural relaxation.

space group: Pm-3m
crystal system: cubic
calculated formation energy: -423.4 meV per atom
energy: -26.443 eV/f.u.
N(E_F): 5.38 states/eV/f.u.

Unit cell a=5.6872 b=5.6872 c=5.6872 alpha=90.00 beta=90.00 gamma=90.00
With the nearest neighbours (Å) after each atom.
Atoms (fractional coordinates):
Ac  0.0000  0.0000  0.5000  2 Rh 2.84
Ac  0.0000  0.5000  0.0000  2 Rh 2.84
Ac  0.5000  0.0000  0.0000  2 Rh 2.84
As  0.5000  0.5000  0.5000  12 Ac 4.02
Rh  0.0000  0.0000  0.0000  6 Ac 2.84



Record 5
A plane-wave DFT calculation with PBE-GGA was carried out for Ac4As2Rh after structural relaxation.

space group: I4/mmm
crystal system: tetragonal
calculated formation energy: -683.3 meV per atom
energy: -37.867 eV/f.u.
N(E_F): 5.93 states/eV/f.u.

Unit cell a=9.1749 b=9.1749 c=9.1749 alpha=145.30 beta=145.30 gamma=49.89
With the nearest neighbours (Å) after each atom.
Atoms (fractional coordinates):
Ac  0.0000  0.5000  0.5000  2 Rh 2.74
Ac  0.1863  0.1863  0.0000  1 As 3.05, 1 Rh 3.10
Ac  0.5000  0.0000  0.5000  2 Rh 2.74
Ac  0.8137  0.8137  0.0000  1 As 3.05, 1 Rh 3.10
As  0.3696  0.3696  0.0000  1 Ac 3.05
As  0.6304  0.6304  0.0000  1 Ac 3.05
Rh  0.0000  0.0000  0.0000  4 Ac 2.74



Record 6
A plane-wave DFT calculation with PBE-GGA was carried out for AcAs2Rh5 after structural relaxation.

space group: Immm
crystal system: orthorhombic
calculated formation energy: -635.7 meV per atom
energy: -55.250 eV/f.u.
N(E_F): 4.88 states/eV/f.u.

Unit cell a=6.3987 b=6.3987 c=6.3987 alpha=143.37 beta=113.20 gamma=78.67
With the nearest neighbours (Å) after each atom.
Atoms (fractional coordinates):
Ac  0.0000  0.0000  0.0000  4 As 3.27, 10 Rh 3.28-3.52
As  0.2602  0.7602  0.5000  7 Rh 2.37-2.60
As  0.7398  0.2398  0.5000  7 Rh 2.37-2.60
Rh  0.1563  0.3525  0.8038  3 As 2.41-2.60
Rh  0.4514  0.6475  0.8038  3 As 2.41-2.60
Rh  0.5000  0.0000  0.5000  2 As 2.37
Rh  0.5486  0.3525  0.1962  3 As 2.41-2.60
Rh  0.8437  0.6475  0.1962  3 As 2.41-2.60



Record 7
A plane-wave DFT calculation with PBE-GGA was carried out for Ac2AsRh6 after structural relaxation.

space group: Fm-3m
crystal system: cubic
calculated formation energy: -552.8 meV per atom
energy: -61.951 eV/f.u.
N(E_F): 10.34 states/eV/f.u.

Unit cell a=6.2396 b=6.2396 c=6.2396 alpha=60.00 beta=60.00 gamma=60.00
With the nearest neighbours (Å) after each atom.
Atoms (fractional coordinates):
Ac  0.2500  0.2500  0.2500  12 Rh 3.13
Ac  0.7500  0.7500  0.7500  12 Rh 3.13
As  0.0000  0.0000  0.0000  6 Rh 2.42
Rh  0.2738  0.2738  0.7262  1 As 2.42
Rh  0.2738  0.7262  0.2738  1 As 2.42
Rh  0.2738  0.7262  0.7262  1 As 2.42
Rh  0.7262  0.2738  0.2738  1 As 2.42
Rh  0.7262  0.2738  0.7262  1 As 2.42
Rh  0.7262  0.7262  0.2738  1 As 2.42



Record 8
A plane-wave DFT calculation with PBE-GGA was carried out for AcAsRh3 after structural relaxation.

space group: I4mm
crystal system: tetragonal
calculated formation energy: -684.3 meV per atom
energy: -34.234 eV/f.u.
N(E_F): 4.50 states/eV/f.u.

Unit cell a=6.1685 b=6.1685 c=6.1685 alpha=139.85 beta=139.85 gamma=58.08
With the nearest neighbours (Å) after each atom.
Atoms (fractional coordinates):
Ac  0.0000  0.0000  0.0000  8 Rh 3.11-3.37, 4 As 3.37
As  0.3557  0.3557  0.0000  5 Rh 2.39-2.44
Rh  0.2435  0.7435  0.5000  2 As 2.44
Rh  0.5770  0.5770  0.0000  1 As 2.39
Rh  0.7435  0.2435  0.5000  2 As 2.44